(1)
The following is a DFT calculation (PBE) of Tb2Ho8Pu after structural relaxation.

Unit cell a=8.776 b=8.776 c=6.640 alpha=100.58 beta=100.58 gamma=43.80
Sites, in units of the cell vectors:
Tb 0.245 0.245 0.313
Tb 0.755 0.755 0.687
Ho 0.176 0.656 0.606
Ho 0.195 0.195 0.799
Ho 0.344 0.824 0.394
Ho 0.409 0.409 0.089
Ho 0.591 0.591 0.911
Ho 0.656 0.176 0.606
Ho 0.805 0.805 0.201
Ho 0.824 0.344 0.394
Pu 0.000 0.000 0.000

Values from the calculation:
M_tot   0.5663 μB/atom

***

(2)
The following is a DFT calculation (PBE) of Tb2Ho8Pu after structural relaxation.

Unit cell a=9.311 b=9.311 c=7.866 alpha=104.67 beta=104.67 gamma=30.95
Sites, in units of the cell vectors:
Tb 0.227 0.227 0.136
Tb 0.773 0.773 0.864
Ho 0.044 0.044 0.230
Ho 0.135 0.135 0.679
Ho 0.320 0.320 0.592
Ho 0.410 0.410 0.050
Ho 0.590 0.590 0.950
Ho 0.680 0.680 0.408
Ho 0.865 0.865 0.321
Ho 0.956 0.956 0.770
Pu 0.500 0.500 0.500

Values from the calculation:
M_tot   0.5854 μB/atom

***

Which of them is least stable? Easy: (1).

***

(1)
The following is a DFT calculation (PBE) of Tb5Ho4Pu after structural relaxation.

Unit cell a=9.148 b=9.148 c=8.626 alpha=115.92 beta=115.92 gamma=31.09
Sites, in units of the cell vectors:
Tb 0.000 0.000 0.000
Tb 0.328 0.328 0.882
Tb 0.337 0.337 0.292
Tb 0.663 0.663 0.708
Tb 0.672 0.672 0.118
Ho 0.176 0.176 0.426
Ho 0.471 0.471 0.720
Ho 0.529 0.529 0.280
Ho 0.824 0.824 0.574
Pu 0.000 0.000 0.500

Values from the calculation:
M_tot   0.6110 μB/atom

***

(2)
The following is a DFT calculation (PBE) of Tb5Ho4Pu after structural relaxation.

Unit cell a=8.121 b=8.121 c=8.121 alpha=96.43 beta=96.43 gamma=140.90
Sites, in units of the cell vectors:
Tb 0.000 0.000 0.000
Tb 0.316 0.316 0.631
Tb 0.316 0.684 0.000
Tb 0.684 0.316 0.000
Tb 0.684 0.684 0.369
Ho 0.000 0.327 0.327
Ho 0.000 0.673 0.673
Ho 0.327 0.000 0.327
Ho 0.673 0.000 0.673
Pu 0.500 0.500 0.000

Values from the calculation:
M_tot   0.5968 μB/atom

***

Which of them is least stable? Easy: (1).

***

(1)
The following is a DFT calculation (PBE) of Tb12Ho6Pu after structural relaxation.

Unit cell a=9.367 b=9.367 c=9.367 alpha=110.93 beta=110.93 gamma=110.93
Sites, in units of the cell vectors:
Tb 0.055 0.371 0.581
Tb 0.105 0.739 0.156
Tb 0.156 0.105 0.739
Tb 0.261 0.844 0.895
Tb 0.371 0.581 0.055
Tb 0.419 0.945 0.629
Tb 0.581 0.055 0.371
Tb 0.629 0.419 0.945
Tb 0.739 0.156 0.105
Tb 0.844 0.895 0.261
Tb 0.895 0.261 0.844
Tb 0.945 0.629 0.419
Ho 0.210 0.471 0.314
Ho 0.314 0.210 0.471
Ho 0.471 0.314 0.210
Ho 0.529 0.686 0.790
Ho 0.686 0.790 0.529
Ho 0.790 0.529 0.686
Pu 0.000 0.000 0.000

Values from the calculation:
M_tot   0.3386 μB/atom

***

(2)
The following is a DFT calculation (PBE) of Tb12Ho6Pu after structural relaxation.

Unit cell a=8.474 b=8.474 c=8.474 alpha=91.30 beta=91.30 gamma=91.30
Sites, in units of the cell vectors:
Tb 0.024 0.292 0.961
Tb 0.039 0.976 0.708
Tb 0.130 0.345 0.454
Tb 0.292 0.961 0.024
Tb 0.345 0.454 0.130
Tb 0.454 0.130 0.345
Tb 0.546 0.870 0.655
Tb 0.655 0.546 0.870
Tb 0.708 0.039 0.976
Tb 0.870 0.655 0.546
Tb 0.961 0.024 0.292
Tb 0.976 0.708 0.039
Ho 0.232 0.764 0.387
Ho 0.236 0.613 0.768
Ho 0.387 0.232 0.764
Ho 0.613 0.768 0.236
Ho 0.764 0.387 0.232
Ho 0.768 0.236 0.613
Pu 0.500 0.500 0.500

Values from the calculation:
M_tot   0.3111 μB/atom

***

Which of them is least stable? Easy: (2).